[1]
## Ag2H2N (PBE-GGA)

Data for crystalline Ag2H2N at its relaxed geometry.

Lattice parameters (Å, degrees): 3.0936 3.0936 5.7223 74.32 74.32 90.00
Last column: magnetic moment on the atom in μB.
Positions (direct):
H1 0.7500 0.2500 0.5000  0.00
H2 0.2500 0.7500 0.5000  0.00
Ag1 0.3653 0.3653 0.2693  0.04
Ag2 0.6347 0.6347 0.7307  0.04
N1 0.0000 0.0000 0.0000  0.77

Properties
D(E_F), states/eV/cell: 1.15
Distance to the lowest polymorph of the same formula, kJ/mol of formula units: 74
Size of the total moment, μB/cell: 1.11
Density, g/cm³: 7.61
Total energy, eV per atom: -3.05

=====

[2]
## Ag2HN (PBE-GGA)

Data for crystalline Ag2HN at its relaxed geometry.

Lattice parameters (Å, degrees): 4.8338 4.8338 5.6901 64.86 64.86 90.00
Last column: magnetic moment on the atom in μB.
Positions (direct):
H1 0.5000 0.5000 0.0000  0.01
H2 0.2500 0.7500 0.5000  0.00
Ag1 0.5853 0.1250 0.2500  0.11
Ag2 0.1647 0.6250 0.2500  0.11
Ag3 0.3750 0.4147 0.7500  0.10
Ag4 0.8750 0.8353 0.7500  0.10
N1 0.0000 0.0000 0.0000  0.45
N2 0.7500 0.2500 0.5000  0.48

Properties
D(E_F), states/eV/cell: 5.59
Size of the total moment, μB/cell: 1.74
Density, g/cm³: 7.21
Total energy, eV per atom: -3.34

=====

[3]
## AgH2N (PBE-GGA)

Data for crystalline AgH2N at its relaxed geometry.

Lattice parameters (Å, degrees): 4.2654 4.2654 4.5931 62.33 62.33 90.00
Positions (direct):
H1 0.3748 0.1250 0.2500
H2 0.3752 0.6250 0.2500
H3 0.3750 0.6252 0.7500
H4 0.8750 0.6248 0.7500
Ag1 0.0000 0.0000 0.0000
Ag2 0.7500 0.2500 0.5000
N1 0.5000 0.5000 0.0000
N2 0.2500 0.7500 0.5000

Properties
D(E_F), states/eV/cell: 0.54
Distance to the lowest polymorph of the same formula, kJ/mol of formula units: 0
Size of the total moment, μB/cell: 0.00
Density, g/cm³: 6.53
Total energy, eV per atom: -3.83

=====

[4]
## AgH12N3 (PBE-GGA)

Data for crystalline AgH12N3 at its relaxed geometry.

Lattice parameters (Å, degrees): 8.5927 8.5927 7.6205 55.68 55.68 60.00
Positions (direct):
Ag1 0.1528 0.1528 0.5415
Ag2 0.6528 0.6528 0.0415
H1 0.1164 0.0022 0.1643
H2 0.1789 0.4250 0.5294
H3 0.7571 0.0712 0.5095
H4 0.8230 0.2237 0.8690
H5 0.3230 0.5843 0.3690
H6 0.2571 0.1622 0.0095
H7 0.6789 0.3667 0.0294
H8 0.0712 0.6622 0.5095
H9 0.6164 0.2171 0.6643
H10 0.8667 0.1789 0.5294
H11 0.7237 0.3230 0.3690
H12 0.2171 0.5022 0.6643
H13 0.1622 0.5712 0.0095
H14 0.7171 0.1164 0.1643
H15 0.2237 0.0843 0.8690
H16 0.3667 0.9250 0.0294
H17 0.9250 0.6789 0.0294
H18 0.5712 0.2571 0.0095
H19 0.5022 0.6164 0.6643
H20 0.0843 0.8230 0.8690
H21 0.5843 0.7237 0.3690
H22 0.0022 0.7171 0.1643
H23 0.4250 0.8667 0.5294
H24 0.6622 0.7571 0.5095
N1 0.6969 0.2403 0.0181
N2 0.1969 0.5448 0.5181
N3 0.7403 0.1969 0.5181
N4 0.2403 0.0448 0.0181
N5 0.0448 0.6969 0.0181
N6 0.5448 0.7403 0.5181

Properties
D(E_F), states/eV/cell: 4.33
Size of the total moment, μB/cell: 0.00
Density, g/cm³: 1.45
Total energy, eV per atom: -4.26

=====

[5]
## AgH6N2O (PBE-GGA)

Data for crystalline AgH6N2O at its relaxed geometry.

Lattice parameters (Å, degrees): 5.2260 5.2260 7.4347 107.69 107.69 83.96
Positions (direct):
Ag1 0.1096 0.8904 0.2500
Ag2 0.8904 0.1096 0.7500
H1 0.8648 0.3590 0.2475
H2 0.6410 0.1352 0.2525
H3 0.1352 0.6410 0.7525
H4 0.3590 0.8648 0.7475
H5 0.3061 0.4115 0.2308
H6 0.5885 0.6939 0.2692
H7 0.6939 0.5885 0.7692
H8 0.4115 0.3061 0.7308
H9 0.2275 0.5308 0.4364
H10 0.4692 0.7725 0.0636
H11 0.7725 0.4692 0.5636
H12 0.5308 0.2275 0.9364
N1 0.4861 0.1454 0.7848
N2 0.8546 0.5139 0.7152
N3 0.5139 0.8546 0.2152
N4 0.1454 0.4861 0.2848
O1 0.6761 0.3239 0.2500
O2 0.3239 0.6761 0.7500

Properties
D(E_F), states/eV/cell: 3.82
Size of the total moment, μB/cell: 0.00
Density, g/cm³: 2.85
Total energy, eV per atom: -4.61

=====

[6]
## AgH2SNO3 (PBE-GGA)

Data for crystalline AgH2SNO3 at its relaxed geometry.

Lattice parameters (Å, degrees): 7.6274 8.5345 12.1496 90.00 90.00 90.00
Positions (direct):
Ag1 0.3834 0.7422 0.8889
Ag2 0.8834 0.2578 0.6111
Ag3 0.6166 0.7578 0.3889
Ag4 0.1166 0.2422 0.1111
Ag5 0.6166 0.2578 0.1111
Ag6 0.1166 0.7422 0.3889
Ag7 0.3834 0.2422 0.6111
Ag8 0.8834 0.7578 0.8889
H1 0.4934 0.8592 0.0949
H2 0.9934 0.1408 0.4051
H3 0.5066 0.6408 0.5949
H4 0.0066 0.3592 0.9051
H5 0.5066 0.1408 0.9051
H6 0.0066 0.8592 0.5949
H7 0.4934 0.3592 0.4051
H8 0.9934 0.6408 0.0949
H9 0.2721 0.8613 0.0921
H10 0.7721 0.1387 0.4079
H11 0.7279 0.6387 0.5921
H12 0.2279 0.3613 0.9079
H13 0.7279 0.1387 0.9079
H14 0.2279 0.8613 0.5921
H15 0.2721 0.3613 0.4079
H16 0.7721 0.6387 0.0921
S1 0.1227 0.6325 0.6556
S2 0.6227 0.3675 0.8444
S3 0.8773 0.8675 0.1556
S4 0.3773 0.1325 0.3444
S5 0.8773 0.3675 0.3444
S6 0.3773 0.6325 0.1556
S7 0.1227 0.1325 0.8444
S8 0.6227 0.8675 0.6556
N1 0.3824 0.7954 0.0746
N2 0.8824 0.2046 0.4254
N3 0.6176 0.7046 0.5746
N4 0.1176 0.2954 0.9254
N5 0.6176 0.2046 0.9254
N6 0.1176 0.7954 0.5746
N7 0.3824 0.2954 0.4254
N8 0.8824 0.7046 0.0746
O1 0.1317 0.6866 0.7718
O2 0.6317 0.3134 0.7282
O3 0.8683 0.8134 0.2718
O4 0.3683 0.1866 0.2282
O5 0.8683 0.3134 0.2282
O6 0.3683 0.6866 0.2718
O7 0.1317 0.1866 0.7282
O8 0.6317 0.8134 0.7718
O9 0.2816 0.5502 0.6214
O10 0.7816 0.4498 0.8786
O11 0.7184 0.9498 0.1214
O12 0.2184 0.0502 0.3786
O13 0.7184 0.4498 0.3786
O14 0.2184 0.5502 0.1214
O15 0.2816 0.0502 0.8786
O16 0.7816 0.9498 0.6214
O17 0.4577 0.4478 0.8686
O18 0.9577 0.5522 0.6314
O19 0.5423 0.0522 0.3686
O20 0.0423 0.9478 0.1314
O21 0.5423 0.5522 0.1314
O22 0.0423 0.4478 0.3686
O23 0.4577 0.9478 0.6314
O24 0.9577 0.0522 0.8686

Properties
D(E_F), states/eV/cell: 0.00
Size of the total moment, μB/cell: 0.00
Density, g/cm³: 3.43
Total energy, eV per atom: -5.33

=====

> Which value of size of the total moment does entry 6 give?

0.00 μB/cell